[1]
Crystalline KRbZr2Zn at its relaxed geometry. Source: Alexandria via LeMat-Bulk, functional PBE-GGA.

Output
total magnetization: 2.4 Bohr magnetons per cell
E: -3.202 eV/atom
DOS at the Fermi energy: 7.390 states/eV/cell

Structure (CIF):
```
data_KRbZr2Zn
_chemical_formula_sum 'K1 Rb1 Zr2 Zn1'
_cell_length_a 5.259
_cell_length_b 6.643
_cell_length_c 5.259
_cell_angle_alpha 90.00
_cell_angle_beta 90.00
_cell_angle_gamma 90.00
_space_group_name_H-M_alt 'P 1'
_space_group_IT_number 1
loop_
_space_group_symop_operation_xyz
'x,y,z'
loop_
_atom_site_label
_atom_site_fract_x
_atom_site_fract_y
_atom_site_fract_z
Zr1 0.500 0.000 0.000
Zr2 0.000 0.000 0.500
Zn1 0.000 0.000 0.000
K1 0.000 0.500 0.000
Rb1 0.500 0.500 0.500
```

***

[2]
Crystalline KRb2Zr2 at its relaxed geometry. Source: Alexandria via LeMat-Bulk, functional PBE-GGA.

Output
total magnetization: 2.1 Bohr magnetons per cell
E: -3.014 eV/atom
DOS at the Fermi energy: 10.101 states/eV/cell

Structure (CIF):
```
data_KRb2Zr2
_chemical_formula_sum 'K2 Rb4 Zr4'
_cell_length_a 11.791
_cell_length_b 11.791
_cell_length_c 3.462
_cell_angle_alpha 90.00
_cell_angle_beta 90.00
_cell_angle_gamma 90.00
_space_group_name_H-M_alt 'P 1'
_space_group_IT_number 1
loop_
_space_group_symop_operation_xyz
'x,y,z'
loop_
_atom_site_label
_atom_site_fract_x
_atom_site_fract_y
_atom_site_fract_z
Rb1 0.203 0.297 0.000
Rb2 0.797 0.703 0.000
Rb3 0.297 0.797 0.000
Rb4 0.703 0.203 0.000
Zr1 0.076 0.576 0.500
Zr2 0.924 0.424 0.500
Zr3 0.576 0.924 0.500
Zr4 0.424 0.076 0.500
K1 0.000 0.000 0.000
K2 0.500 0.500 0.000
```

***

[3]
Crystalline KRb2Zr2 at its relaxed geometry. Source: Alexandria via LeMat-Bulk, functional PBE-GGA.

Output
total magnetization: 0.0 Bohr magnetons per cell
E: -3.432 eV/atom
DOS at the Fermi energy: 5.703 states/eV/cell

Structure (CIF):
```
data_KRb2Zr2
_chemical_formula_sum 'K1 Rb2 Zr2'
_cell_length_a 4.059
_cell_length_b 4.059
_cell_length_c 15.606
_cell_angle_alpha 82.53
_cell_angle_beta 82.53
_cell_angle_gamma 90.00
_space_group_name_H-M_alt 'P 1'
_space_group_IT_number 1
loop_
_space_group_symop_operation_xyz
'x,y,z'
loop_
_atom_site_label
_atom_site_fract_x
_atom_site_fract_y
_atom_site_fract_z
Zr1 0.750 0.250 0.500
Zr2 0.250 0.750 0.500
Rb1 0.365 0.365 0.270
Rb2 0.635 0.635 0.730
K1 0.000 0.000 0.000
```

***

[4]
Crystalline K4RbZr2 at its relaxed geometry. Source: Alexandria via LeMat-Bulk, functional PBE-GGA.

Output
total magnetization: 2.4 Bohr magnetons per cell
E: -2.223 eV/atom
DOS at the Fermi energy: 7.558 states/eV/cell

Structure (CIF):
```
data_K4RbZr2
_chemical_formula_sum 'K4 Rb1 Zr2'
_cell_length_a 7.252
_cell_length_b 7.252
_cell_length_c 10.467
_cell_angle_alpha 69.73
_cell_angle_beta 69.73
_cell_angle_gamma 90.00
_space_group_name_H-M_alt 'P 1'
_space_group_IT_number 1
loop_
_space_group_symop_operation_xyz
'x,y,z'
loop_
_atom_site_label
_atom_site_fract_x
_atom_site_fract_y
_atom_site_fract_z
Zr1 0.435 0.435 0.131
Zr2 0.565 0.565 0.869
K1 0.000 0.500 0.000
K2 0.229 0.229 0.541
K3 0.771 0.771 0.459
K4 0.500 0.000 0.000
Rb1 0.000 0.000 0.000
```